# La2YRuCl GGA-PBE relaxed
# Uncorrected formation energy (eV per atom): 0.531
# Magnetic moment (μB per formula unit): 0.00
# D(E_F) (states/eV per atom): 1.653
data_La2YRuCl
_symmetry_space_group_name_H-M 'P 1'
_symmetry_Int_Tables_number 1
_cell_length_a 6.0871
_cell_length_b 6.0871
_cell_length_c 4.7129
_cell_angle_alpha 90.00
_cell_angle_beta 90.00
_cell_angle_gamma 90.00
loop_
_symmetry_equiv_pos_as_xyz
'x,y,z'
loop_
_atom_site_label
_atom_site_type_symbol
_atom_site_fract_x
_atom_site_fract_y
_atom_site_fract_z
La1 La 0.0000 0.5000 0.0000
La2 La 0.5000 0.0000 0.0000
Y1 Y 0.0000 0.0000 0.0000
Ru1 Ru 0.0000 0.0000 0.5000
Cl1 Cl 0.5000 0.5000 0.5000

=====

# CaTlSe2 GGA-PBE relaxed
# Uncorrected formation energy (eV per atom): -1.035
# Magnetic moment (μB per formula unit): 0.00
# D(E_F) (states/eV per atom): 0.291
data_CaTlSe2
_symmetry_space_group_name_H-M 'P 1'
_symmetry_Int_Tables_number 1
_cell_length_a 4.2863
_cell_length_b 4.0611
_cell_length_c 12.6203
_cell_angle_alpha 90.00
_cell_angle_beta 90.00
_cell_angle_gamma 90.00
loop_
_symmetry_equiv_pos_as_xyz
'x,y,z'
loop_
_atom_site_label
_atom_site_type_symbol
_atom_site_fract_x
_atom_site_fract_y
_atom_site_fract_z
Ca1 Ca 0.0000 0.0000 0.0000
Ca2 Ca 0.0000 0.5000 0.5000
Tl1 Tl 0.5000 0.0000 0.7321
Tl2 Tl 0.5000 0.5000 0.2321
Se1 Se 0.0000 0.0000 0.2543
Se2 Se 0.0000 0.5000 0.7543
Se3 Se 0.5000 0.0000 0.5064
Se4 Se 0.5000 0.5000 0.0064